[1]
The following is a DFT calculation (PBE-GGA) of a relaxed structure of Ta2PbS6.

a = 4.669 Å, b = 6.494 Å, c = 8.753 Å
α = 70.86°, β = 74.53°, γ = 68.93°
Element x y z (fractional)
Ta1 0.179 0.766 0.876
Ta2 0.821 0.234 0.124
Pb1 0.000 0.500 0.500
S1 0.696 0.658 0.949
S2 0.304 0.342 0.051
S3 0.989 0.841 0.181
S4 0.328 0.729 0.614
S5 0.011 0.159 0.819
S6 0.672 0.271 0.386

Computed properties:
- total energy (eV/atom) = -6.535



[2]
The following is a DFT calculation (PBE-GGA) of a relaxed structure of Ta4PbS8.

a = 6.761 Å, b = 6.761 Å, c = 8.337 Å
α = 102.93°, β = 100.70°, γ = 119.68°
Element x y z (fractional)
Ta1 0.273 0.273 0.000
Ta2 0.727 0.727 0.000
Ta3 0.256 0.747 0.003
Ta4 0.744 0.253 0.997
Pb1 0.000 0.500 0.500
S1 0.683 0.021 0.203
S2 0.181 0.520 0.203
S3 0.691 0.526 0.217
S4 0.172 0.017 0.189
S5 0.828 0.983 0.811
S6 0.309 0.474 0.783
S7 0.819 0.480 0.797
S8 0.317 0.979 0.797

Computed properties:
- total energy (eV/atom) = -7.418
- polymorph energy (0 for the lowest one) (meV/atom) = 0
- N(E_F) (states/eV per cell) = 5.29



[3]
The following is a DFT calculation (PBE-GGA) of a relaxed structure of TaPbS3.

a = 4.827 Å, b = 4.827 Å, c = 4.827 Å
α = 90.00°, β = 90.00°, γ = 90.00°
Element x y z (fractional)
Pb1 0.500 0.500 0.500
S1 0.000 0.500 0.000
S2 0.000 0.000 0.500
S3 0.500 0.000 0.000
Ta1 0.000 0.000 0.000

Computed properties:
- total energy (eV/atom) = -6.148
- N(E_F) (states/eV per cell) = 2.14



[4]
The following is a DFT calculation (PBE-GGA) of a relaxed structure of TaPbS3.

a = 7.379 Å, b = 7.963 Å, c = 7.167 Å
α = 77.64°, β = 40.77°, γ = 90.36°
Element x y z (fractional)
Ta1 0.202 0.321 0.289
Ta2 0.957 0.210 0.897
Pb1 0.754 0.577 0.360
Pb2 0.178 0.819 0.454
S1 0.353 0.629 0.055
S2 0.112 0.526 0.802
S3 0.413 0.211 0.410
S4 0.733 0.298 0.787
S5 0.049 0.147 0.185
S6 0.764 0.891 0.080

Computed properties:
- total energy (eV/atom) = -6.231
- N(E_F) (states/eV per cell) = 1.71



[5]
The following is a DFT calculation (PBE-GGA) of a relaxed structure of TaPbS3.

a = 4.954 Å, b = 5.815 Å, c = 15.724 Å
α = 90.00°, β = 90.00°, γ = 90.00°
Element x y z (fractional)
Ta1 0.500 0.416 0.750
Ta2 0.000 0.916 0.250
Ta3 0.500 0.584 0.250
Ta4 0.000 0.084 0.750
Pb1 0.000 0.500 0.000
Pb2 0.500 0.000 0.500
Pb3 0.500 0.000 0.000
Pb4 0.000 0.500 0.500
S1 0.000 0.020 0.104
S2 0.500 0.520 0.604
S3 0.500 0.520 0.896
S4 0.000 0.980 0.604
S5 0.000 0.980 0.896
S6 0.500 0.480 0.396
S7 0.500 0.480 0.104
S8 0.000 0.020 0.396
S9 0.500 0.010 0.750
S10 0.000 0.510 0.250
S11 0.500 0.990 0.250
S12 0.000 0.490 0.750

Computed properties:
- total energy (eV/atom) = -6.198
- N(E_F) (states/eV per cell) = 4.68



[6]
The following is a DFT calculation (PBE-GGA) of a relaxed structure of Ta3PbS.

a = 5.155 Å, b = 5.155 Å, c = 5.155 Å
α = 90.00°, β = 90.00°, γ = 90.00°
Last column: magnetic moment on the atom in μB.
Element x y z (fractional)
Pb1 0.000 0.000 0.000  0.05
S1 0.500 0.500 0.500  0.02
Ta1 0.000 0.500 0.000  0.38
Ta2 0.000 0.000 0.500  0.47
Ta3 0.500 0.000 0.000  0.26

Computed properties:
- total energy (eV/atom) = -5.999
- polymorph energy (0 for the lowest one) (meV/atom) = 2259
- N(E_F) (states/eV per cell) = 8.80



[7]
The following is a DFT calculation (PBE-GGA) of a relaxed structure of Ta2PbS7.

a = 4.714 Å, b = 7.321 Å, c = 7.321 Å
α = 118.30°, β = 90.00°, γ = 90.00°
Element x y z (fractional)
Ta1 0.500 0.697 0.303
Ta2 0.500 0.303 0.697
Pb1 0.000 0.000 0.000
S1 0.000 0.716 0.284
S2 0.000 0.284 0.716
S3 0.500 0.057 0.316
S4 0.500 0.943 0.684
S5 0.500 0.316 0.057
S6 0.500 0.684 0.943
S7 0.500 0.500 0.500

Computed properties:
- total energy (eV/atom) = -6.108
- N(E_F) (states/eV per cell) = 4.33



[8]
The following is a DFT calculation (PBE-GGA) of a relaxed structure of TaPb2S.

a = 6.548 Å, b = 6.548 Å, c = 7.849 Å
α = 65.35°, β = 65.35°, γ = 90.00°
Last column: magnetic moment on the atom in μB.
Element x y z (fractional)
Pb1 0.621 0.125 0.250  0.00
Pb2 0.129 0.625 0.250  0.00
Pb3 0.375 0.379 0.750  0.00
Pb4 0.875 0.871 0.750  0.01
S1 0.500 0.500 0.000  0.10
S2 0.250 0.750 0.500  0.10
Ta1 0.000 0.000 0.000  0.81
Ta2 0.750 0.250 0.500  0.82

Computed properties:
- total energy (eV/atom) = -4.833
- N(E_F) (states/eV per cell) = 7.97



[9]
The following is a DFT calculation (PBE-GGA) of a relaxed structure of TaTePb2S.

a = 5.675 Å, b = 4.601 Å, c = 5.675 Å
α = 90.00°, β = 90.00°, γ = 90.00°
Last column: magnetic moment on the atom in μB.
Element x y z (fractional)
Pb1 0.000 0.000 0.500  0.00
Pb2 0.500 0.000 0.000  -0.01
S1 0.000 0.000 0.000  -0.01
Te1 0.500 0.500 0.500  0.00
Ta1 0.000 0.500 0.000  0.50

Computed properties:
- total energy (eV/atom) = -4.882
- N(E_F) (states/eV per cell) = 4.37



[10]
The following is a DFT calculation (PBE-GGA) of a relaxed structure of Ta2Tl2PbS7.

a = 6.819 Å, b = 6.819 Å, c = 10.592 Å
α = 71.22°, β = 71.22°, γ = 60.00°
Element x y z (fractional)
Ta1 0.920 0.920 0.239
Ta2 0.080 0.080 0.761
Tl1 0.706 0.706 0.882
Tl2 0.294 0.294 0.118
Pb1 0.500 0.500 0.500
S1 0.208 0.899 0.313
S2 0.580 0.208 0.313
S3 0.899 0.580 0.313
S4 0.420 0.101 0.687
S5 0.792 0.420 0.687
S6 0.000 0.000 0.000
S7 0.101 0.792 0.687

Computed properties:
- total energy (eV/atom) = -5.736
- N(E_F) (states/eV per cell) = 0.00



[11]
The following is a DFT calculation (PBE-GGA) of a relaxed structure of TaTl4Pb3S8.

a = 8.249 Å, b = 8.607 Å, c = 8.249 Å
α = 118.65°, β = 120.00°, γ = 90.00°
Element x y z (fractional)
Ta1 0.000 0.500 0.000
Tl1 0.500 0.000 0.000
Tl2 0.500 0.000 0.500
Tl3 0.000 0.000 0.000
Tl4 0.000 0.000 0.500
Pb1 0.500 0.500 0.000
Pb2 0.500 0.500 0.500
Pb3 0.000 0.500 0.500
S1 0.210 0.701 0.991
S2 0.210 0.701 0.421
S3 0.255 0.266 0.511
S4 0.781 0.701 0.991
S5 0.219 0.299 0.009
S6 0.745 0.734 0.489
S7 0.790 0.299 0.579
S8 0.790 0.299 0.009

Computed properties:
- total energy (eV/atom) = -4.608
- N(E_F) (states/eV per cell) = 7.30



[12]
The following is a DFT calculation (PBE-GGA) of a relaxed structure of TaTlPbS4.

a = 7.339 Å, b = 7.339 Å, c = 9.285 Å
α = 90.00°, β = 90.00°, γ = 112.50°
Element x y z (fractional)
Ta1 0.131 0.869 0.250
Ta2 0.869 0.131 0.750
Tl1 0.500 0.500 0.500
Tl2 0.500 0.500 0.000
Pb1 0.844 0.156 0.250
Pb2 0.156 0.844 0.750
S1 0.210 0.235 0.750
S2 0.765 0.790 0.750
S3 0.761 0.239 0.948
S4 0.761 0.239 0.552
S5 0.239 0.761 0.052
S6 0.239 0.761 0.448
S7 0.790 0.765 0.250
S8 0.235 0.210 0.250

Computed properties:
- total energy (eV/atom) = -5.599
- N(E_F) (states/eV per cell) = 0.00